Record 1
DFT (GGA-PBE) results for a relaxed DyThMg2 crystal.

```
4
Lattice="5.390 0.000 0.000 2.695 4.668 0.000 2.695 1.556 4.401" Properties=species:S:1:pos:R:3 pbc="T T T"
Mg 8.085 4.668 3.300
Mg 2.695 1.556 1.100
Th 5.390 3.112 2.200
Dy 0.000 0.000 0.000
```

* density: 6.6 g cm⁻³
* polymorph energy (0 for the lowest one): 0.0000 eV per atom


Record 2
DFT (GGA-PBE) results for a relaxed DyTh2Mg crystal.

```
4
Lattice="-0.927 -3.318 1.002 3.465 -0.918 0.165 0.273 2.641 8.998" Properties=species:S:1:pos:R:3 pbc="T T T"
Dy 0.140 1.356 4.619
Th 1.338 -1.447 2.868
Mg 1.472 -0.154 7.277
Th 0.270 2.612 8.899
```

* density: 8.9 g cm⁻³
* polymorph energy (0 for the lowest one): 0.0000 eV per atom


Record 3
DFT (GGA-PBE) results for a relaxed DyThMg6 crystal.

```
8
Lattice="5.216 0.000 0.000 0.000 5.931 -3.180 0.000 -0.225 6.726" Properties=species:S:1:pos:R:3 pbc="T T T"
Mg 2.608 2.491 -0.767
Mg 0.000 0.342 2.542
Mg 2.608 5.397 -2.322
Th 2.608 2.343 2.594
Mg 0.000 3.397 0.898
Mg 2.608 5.291 0.972
Mg 0.000 3.275 4.365
Dy 0.000 0.284 5.906
```

* density: 4.4 g cm⁻³


The calculated formation energy results, record by record, are as follows: 0.0041 0.0071 -0.0124 eV/atom.